(1)
This record from Alexandria describes crystalline SnSIO2 at its relaxed geometry. The functional is PBE.

Cell lengths 3.9502, 3.9502, 7.0309 Å; angles 90.00, 90.00, 90.00 degrees
With the nearest neighbours (Å) after each atom.
Positions (direct):
O: 0.5000 0.0000 0.0000  2 Sn 1.98
O: 0.0000 0.5000 0.0000  2 Sn 1.98
Sn: 0.0000 0.0000 0.0000  4 O 1.98
I: 0.0000 0.0000 0.5000  4 S 2.79
S: 0.5000 0.5000 0.5000  4 I 2.79

Summary:
formation energy without anion corrections: -0.2610 eV per atom
calculated total energy: -20.902 eV/f.u.

=====

(2)
This record from Alexandria describes crystalline SnSI2O at its relaxed geometry. The functional is PBE.

Cell lengths 5.8398, 5.8398, 3.7031 Å; angles 90.00, 90.00, 90.00 degrees
With the nearest neighbours (Å) after each atom.
Positions (direct):
I: 0.5000 0.0000 0.0000  2 S 2.92
I: 0.0000 0.5000 0.0000  2 S 2.92
O: 0.0000 0.0000 0.5000  2 S 1.85
Sn: 0.5000 0.5000 0.5000  8 I 3.46, 2 Sn 3.70
S: 0.0000 0.0000 0.0000  2 O 1.85

Summary:
formation energy without anion corrections: 0.1276 eV per atom
calculated total energy: -15.551 eV/f.u.
ΔE to the lowest computed polymorph: 0.00 eV/f.u.

=====

(3)
This record from Alexandria describes crystalline SrSIO4 at its relaxed geometry. The functional is PBE.

Cell lengths 6.8125, 6.8125, 6.9614 Å; angles 82.08, 82.08, 58.46 degrees
With the nearest neighbours (Å) after each atom.
Positions (direct):
O: 0.3023 0.3023 0.4496  1 S 1.48
O: 0.4976 0.8581 0.8609  1 S 1.51
O: 0.8581 0.4976 0.8609  1 S 1.51
O: 0.1419 0.5024 0.1391  1 S 1.51
O: 0.6977 0.6977 0.5504  1 S 1.48
O: 0.5158 0.5158 0.7653  1 S 1.47
O: 0.4842 0.4842 0.2347  1 S 1.47
O: 0.5024 0.1419 0.1391  1 S 1.51
S: 0.3595 0.3595 0.2452  4 O 1.47-1.51
S: 0.6405 0.6405 0.7548  4 O 1.47-1.51
I: 0.9720 0.9720 0.6936  1 I 2.67
I: 0.0280 0.0280 0.3064  1 I 2.67
Sr: 0.3040 0.3040 0.8024  6 O 2.46-2.67
Sr: 0.6960 0.6960 0.1976  6 O 2.46-2.67

Summary:
formation energy without anion corrections: -1.7922 eV per atom
calculated total energy: -39.737 eV/f.u.

=====

(4)
This record from Alexandria describes crystalline SrSIO2 at its relaxed geometry. The functional is PBE.

Cell lengths 4.3315, 4.3315, 5.2258 Å; angles 90.00, 90.00, 90.00 degrees
With the nearest neighbours (Å) after each atom.
Positions (direct):
I: 0.0000 0.0000 0.5000  2 S 2.61
Sr: 0.5000 0.5000 0.5000  4 I 3.06, 8 O 3.39
O: 0.0000 0.5000 0.0000  2 S 2.17
O: 0.5000 0.0000 0.0000  2 S 2.17
S: 0.0000 0.0000 0.0000  4 O 2.17

Summary:
formation energy without anion corrections: -0.4129 eV per atom
calculated total energy: -19.340 eV/f.u.

=====

(5)
This record from Alexandria describes crystalline SrSIO2 at its relaxed geometry. The functional is PBE.

Cell lengths 4.4493, 4.4493, 7.8343 Å; angles 90.00, 90.00, 90.00 degrees
With the nearest neighbours (Å) after each atom.
Positions (direct):
O: 0.0000 0.5000 0.0000  2 Sr 2.22
O: 0.5000 0.0000 0.0000  2 Sr 2.22
I: 0.0000 0.0000 0.5000  4 S 3.15
Sr: 0.0000 0.0000 0.0000  4 O 2.22
S: 0.5000 0.5000 0.5000  4 I 3.15

Summary:
formation energy without anion corrections: -0.0872 eV per atom
calculated total energy: -17.712 eV/f.u.

=====

(6)
This record from Alexandria describes crystalline TaSIO2 at its relaxed geometry. The functional is PBE.

Cell lengths 3.9197, 3.9197, 6.1982 Å; angles 90.00, 90.00, 90.00 degrees
With the nearest neighbours (Å) after each atom.
Positions (direct):
I: 0.0000 0.0000 0.5000  4 S 2.77, 2 Ta 3.10
Ta: 0.0000 0.0000 0.0000  4 O 1.96
O: 0.0000 0.5000 0.0000  2 Ta 1.96
O: 0.5000 0.0000 0.0000  2 Ta 1.96
S: 0.5000 0.5000 0.5000  4 I 2.77

Summary:
formation energy without anion corrections: -1.1329 eV per atom
calculated total energy: -33.111 eV/f.u.

=====

(7)
This record from Alexandria describes crystalline TaSIO2 at its relaxed geometry. The functional is PBE.

Cell lengths 3.8930, 3.8930, 5.5073 Å; angles 90.00, 90.00, 90.00 degrees
With the nearest neighbours (Å) after each atom.
Positions (direct):
S: 0.0000 0.0000 0.0000  4 O 1.95
I: 0.0000 0.0000 0.5000  4 Ta 2.75, 2 S 2.75
O: 0.5000 0.0000 0.0000  2 S 1.95
O: 0.0000 0.5000 0.0000  2 S 1.95
Ta: 0.5000 0.5000 0.5000  4 I 2.75

Summary:
formation energy without anion corrections: 0.8984 eV per atom
calculated total energy: -22.955 eV/f.u.

=====

(8)
This record from Alexandria describes crystalline TcS2IO at its relaxed geometry. The functional is PBE.

Cell lengths 4.0113, 6.2157, 4.0113 Å; angles 90.00, 90.00, 90.00 degrees
With the nearest neighbours (Å) after each atom.
Positions (direct):
I: 0.0000 0.5000 0.0000  4 Tc 2.84, 2 O 3.11
S: 0.0000 0.0000 0.5000  2 O 2.01
S: 0.5000 0.0000 0.0000  2 O 2.01
Tc: 0.5000 0.5000 0.5000  4 I 2.84
O: 0.0000 0.0000 0.0000  4 S 2.01

Summary:
formation energy without anion corrections: 1.0442 eV per atom
calculated total energy: -19.908 eV/f.u.